Entry from Alexandria: a geometry-optimized BaRhN2 structure (PBE).

It has space group R-3m (No. 166, hexagonal axes), with a = 4.2714 Å, b = 4.2714 Å, c = 18.3970 Å, α = 90.00°, β = 90.00° and γ = 120.00°. The inequivalent atoms are Ba at (0.0000, 0.0000, 0.0000), Rh at (0.0000, 0.0000, 0.5000) and N at (0.0000, 0.0000, 0.4037).

The value obtained for the total energy is -73.78 eV per cell. The offset from the most stable computed form comes out at 22.55 kJ per mole of atoms.

Entry from Alexandria: a geometry-optimized BaRhN2 structure (PBE).

It has space group Fm-3m (No. 225), with a = 6.1882 Å, b = 6.1882 Å, c = 6.1882 Å, α = 90.00°, β = 90.00° and γ = 90.00°. The inequivalent atoms are Ba at (0.0000, 0.0000, 0.0000), Rh at (0.0000, 0.0000, 0.5000) and N at (0.2500, 0.2500, 0.2500).

The value obtained for the total energy is -85.67 eV per cell. The offset from the most stable computed form comes out at 99.14 kJ per mole of atoms.

Entry from Alexandria: a geometry-optimized Ba12Rh3N5 structure (PBE).

It has space group Ia-3d (No. 230), with a = 17.2742 Å, b = 17.2742 Å, c = 17.2742 Å, α = 90.00°, β = 90.00° and γ = 90.00°. The inequivalent atoms are Ba at (0.0258, 0.0550, 0.6530), Rh at (0.0000, 0.2500, 0.1250), N at (0.0000, 0.0000, 0.0000) and N at (0.0000, 0.2500, 0.3750).

The value obtained for the total energy is -731.59 eV per cell.

Entry from Alexandria: a geometry-optimized Ba6Rh2N structure (PBE).

It has space group C2/m (No. 12), with a = 15.6678 Å, b = 4.3225 Å, c = 12.8908 Å, α = 90.00°, β = 118.03° and γ = 90.00°. The inequivalent atoms are Ba at (0.0032, 0.0000, 0.2042), Ba at (0.1648, 0.5000, 0.5439), Ba at (0.1818, 0.0000, 0.1162), Rh at (0.1786, 0.5000, 0.3111) and N at (0.0000, 0.0000, 0.0000).

The value obtained for the total energy is -70.89 eV per cell.

Entry from Alexandria: a geometry-optimized Ba3RhN structure (PBE).

It has space group Pm-3m (No. 221), with a = 5.4420 Å, b = 5.4420 Å, c = 5.4420 Å, α = 90.00°, β = 90.00° and γ = 90.00°. The inequivalent atoms are Ba at (0.0000, 0.0000, 0.5000), Rh at (0.5000, 0.5000, 0.5000) and N at (0.0000, 0.0000, 0.0000).

The value obtained for the total energy is -21.66 eV per cell. The offset from the most stable computed form comes out at 0.00 kJ per mole of atoms.

Entry from Alexandria: a geometry-optimized BaRh3N structure (PBE).

It has space group Pm-3m (No. 221), with a = 5.1903 Å, b = 5.1903 Å, c = 5.1903 Å, α = 90.00°, β = 90.00° and γ = 90.00°. The inequivalent atoms are Ba at (0.0000, 0.0000, 0.0000), Rh at (0.0000, 0.0000, 0.5000) and N at (0.5000, 0.5000, 0.5000).

The value obtained for the total energy is -18.08 eV per cell. The offset from the most stable computed form comes out at 250.50 kJ per mole of atoms.

Entry from Alexandria: a geometry-optimized BaRhN2 structure (PBE).

It has space group I-42d (No. 122), with a = 5.3395 Å, b = 5.3395 Å, c = 10.1071 Å, α = 90.00°, β = 90.00° and γ = 90.00°. The inequivalent atoms are Ba at (0.0000, 0.0000, 0.0000), Rh at (0.0000, 0.0000, 0.5000) and N at (0.1294, 0.2500, 0.6250).

The value obtained for the total energy is -102.11 eV per cell. The offset from the most stable computed form comes out at 0.00 kJ per mole of atoms.

Entry from Alexandria: a geometry-optimized Ba6RhN2 structure (PBE).

It has space group C2/m (No. 12), with a = 15.1560 Å, b = 4.8595 Å, c = 10.2784 Å, α = 90.00°, β = 101.10° and γ = 90.00°. The inequivalent atoms are Ba at (0.1042, 0.0000, 0.2398), Ba at (0.1294, 0.5000, 0.5992), Ba at (0.1821, 0.0000, 0.8912), Rh at (0.0000, 0.0000, 0.5000) and N at (0.2478, 0.5000, 0.8384).

The value obtained for the total energy is -74.80 eV per cell. The offset from the most stable computed form comes out at 10.14 kJ per mole of atoms.

Entry from Alexandria: a geometry-optimized Ba6RhN2 structure (PBE).

It has space group C2/m (No. 12), with a = 19.7190 Å, b = 4.1997 Å, c = 9.0760 Å, α = 90.00°, β = 108.68° and γ = 90.00°. The inequivalent atoms are Ba at (0.0209, 0.0000, 0.2556), Ba at (0.1607, 0.5000, 0.1274), Ba at (0.1814, 0.5000, 0.5580), Rh at (0.0000, 0.5000, 0.0000) and N at (0.1730, 0.0000, 0.3486).

The value obtained for the total energy is -76.69 eV per cell. The offset from the most stable computed form comes out at 0.00 kJ per mole of atoms.

Entry from Alexandria: a geometry-optimized Ba4RhN structure (PBE).

It has space group C2/m (No. 12), with a = 18.1786 Å, b = 6.1085 Å, c = 9.5024 Å, α = 90.00°, β = 108.31° and γ = 90.00°. The inequivalent atoms are Ba at (0.0578, 0.0000, 0.3765), Ba at (0.1212, 0.5000, 0.6909), Ba at (0.1372, 0.0000, 0.9730), Ba at (0.2417, 0.5000, 0.3248), Rh at (0.2215, 0.0000, 0.3102) and N at (0.1014, 0.0000, 0.6755).

The value obtained for the total energy is -97.18 eV per cell.

Entry from Alexandria: a geometry-optimized BaRhS2N structure (PBE).

It has space group P4/mmm (No. 123), with a = 5.6970 Å, b = 5.6970 Å, c = 4.5435 Å, α = 90.00°, β = 90.00° and γ = 90.00°. The inequivalent atoms are Ba at (0.0000, 0.0000, 0.0000), Rh at (0.5000, 0.5000, 0.5000), S at (0.0000, 0.5000, 0.0000) and N at (0.0000, 0.0000, 0.5000).

The value obtained for the total energy is -16.88 eV per cell. The offset from the most stable computed form comes out at 217.67 kJ per mole of atoms.

Entry from Alexandria: a geometry-optimized BaRhS2N structure (PBE).

It has space group P4/mmm (No. 123), with a = 5.1468 Å, b = 5.1468 Å, c = 3.7619 Å, α = 90.00°, β = 90.00° and γ = 90.00°. The inequivalent atoms are Ba at (0.0000, 0.0000, 0.0000), Rh at (0.5000, 0.5000, 0.5000), S at (0.0000, 0.5000, 0.5000) and N at (0.5000, 0.5000, 0.0000).

The value obtained for the total energy is -28.16 eV per cell. The offset from the most stable computed form comes out at 0.00 kJ per mole of atoms.

Entry from Alexandria: a geometry-optimized Ba2RhSN structure (PBE).

It has space group P4/mmm (No. 123), with a = 5.7271 Å, b = 5.7271 Å, c = 3.8165 Å, α = 90.00°, β = 90.00° and γ = 90.00°. The inequivalent atoms are Ba at (0.0000, 0.5000, 0.0000), Rh at (0.0000, 0.0000, 0.5000), S at (0.5000, 0.5000, 0.5000) and N at (0.0000, 0.0000, 0.0000).

The value obtained for the total energy is -28.50 eV per cell.

Entry from Alexandria: a geometry-optimized BaSc2RhN structure (PBE).

It has space group P4/mmm (No. 123), with a = 5.4803 Å, b = 5.4803 Å, c = 3.8579 Å, α = 90.00°, β = 90.00° and γ = 90.00°. The inequivalent atoms are Ba at (0.0000, 0.0000, 0.0000), Sc at (0.0000, 0.5000, 0.5000), Rh at (0.5000, 0.5000, 0.5000) and N at (0.5000, 0.5000, 0.0000).

The value obtained for the total energy is -28.14 eV per cell.

Entry from Alexandria: a geometry-optimized Ba2RhSeN structure (PBE).

It has space group P4/mmm (No. 123), with a = 5.8086 Å, b = 5.8086 Å, c = 3.8380 Å, α = 90.00°, β = 90.00° and γ = 90.00°. The inequivalent atoms are Ba at (0.0000, 0.5000, 0.0000), Rh at (0.0000, 0.0000, 0.5000), Se at (0.5000, 0.5000, 0.5000) and N at (0.0000, 0.0000, 0.0000).

The value obtained for the total energy is -27.93 eV per cell.

Entry from Alexandria: a geometry-optimized BaRhSeN2 structure (PBE).

It has space group P4/mmm (No. 123), with a = 4.2565 Å, b = 4.2565 Å, c = 5.2417 Å, α = 90.00°, β = 90.00° and γ = 90.00°. The inequivalent atoms are Ba at (0.0000, 0.0000, 0.0000), Rh at (0.5000, 0.5000, 0.5000), Se at (0.5000, 0.5000, 0.0000) and N at (0.0000, 0.5000, 0.5000).

The value obtained for the total energy is -27.46 eV per cell. The offset from the most stable computed form comes out at 0.00 kJ per mole of atoms.

Entry from Alexandria: a geometry-optimized BaRhSeN2 structure (PBE).

It has space group P4/mmm (No. 123), with a = 4.4942 Å, b = 4.4942 Å, c = 6.5812 Å, α = 90.00°, β = 90.00° and γ = 90.00°. The inequivalent atoms are Ba at (0.0000, 0.0000, 0.0000), Rh at (0.5000, 0.5000, 0.5000), Se at (0.0000, 0.0000, 0.5000) and N at (0.0000, 0.5000, 0.0000).

The value obtained for the total energy is -19.04 eV per cell. The offset from the most stable computed form comes out at 162.58 kJ per mole of atoms.

Entry from Alexandria: a geometry-optimized Ba2SnRhN structure (PBE).

It has space group P4/mmm (No. 123), with a = 6.4490 Å, b = 6.4490 Å, c = 4.0903 Å, α = 90.00°, β = 90.00° and γ = 90.00°. The inequivalent atoms are Ba at (0.0000, 0.5000, 0.0000), Sn at (0.0000, 0.0000, 0.0000), Rh at (0.5000, 0.5000, 0.5000) and N at (0.0000, 0.0000, 0.5000).

The value obtained for the total energy is -20.04 eV per cell. The offset from the most stable computed form comes out at 109.60 kJ per mole of atoms.

Entry from Alexandria: a geometry-optimized Ba2SnRhN structure (PBE).

It has space group P4/mmm (No. 123), with a = 6.0514 Å, b = 6.0514 Å, c = 3.8084 Å, α = 90.00°, β = 90.00° and γ = 90.00°. The inequivalent atoms are Ba at (0.0000, 0.5000, 0.0000), Sn at (0.0000, 0.0000, 0.5000), Rh at (0.5000, 0.5000, 0.5000) and N at (0.5000, 0.5000, 0.0000).

The value obtained for the total energy is -25.72 eV per cell. The offset from the most stable computed form comes out at 0.00 kJ per mole of atoms.

Entry from Alexandria: a geometry-optimized Ba2Sn2Rh2N structure (PBE).

It has space group C2/m (No. 12), with a = 12.4193 Å, b = 4.4712 Å, c = 8.0235 Å, α = 90.00°, β = 124.49° and γ = 90.00°. The inequivalent atoms are Ba at (0.0593, 0.0000, 0.3139), Sn at (0.1929, 0.5000, 0.0921), Rh at (0.1717, 0.5000, 0.7328) and N at (0.0000, 0.5000, 0.5000).

The value obtained for the total energy is -77.56 eV per cell.

Entry from Alexandria: a geometry-optimized BaTeRhN2 structure (PBE).

It has space group P4/mmm (No. 123), with a = 4.4326 Å, b = 4.4326 Å, c = 5.4610 Å, α = 90.00°, β = 90.00° and γ = 90.00°. The inequivalent atoms are Ba at (0.0000, 0.0000, 0.0000), Te at (0.5000, 0.5000, 0.0000), Rh at (0.5000, 0.5000, 0.5000) and N at (0.0000, 0.5000, 0.5000).

The value obtained for the total energy is -25.66 eV per cell. The offset from the most stable computed form comes out at 0.00 kJ per mole of atoms.

Entry from Alexandria: a geometry-optimized BaTeRhN2 structure (PBE).

It has space group P4/mmm (No. 123), with a = 4.4660 Å, b = 4.4660 Å, c = 7.2559 Å, α = 90.00°, β = 90.00° and γ = 90.00°. The inequivalent atoms are Ba at (0.0000, 0.0000, 0.0000), Te at (0.0000, 0.0000, 0.5000), Rh at (0.5000, 0.5000, 0.5000) and N at (0.0000, 0.5000, 0.0000).

The value obtained for the total energy is -19.27 eV per cell. The offset from the most stable computed form comes out at 123.40 kJ per mole of atoms.

Entry from Alexandria: a geometry-optimized Ba2TlRhN structure (PBE).

It has space group P2_1/m (No. 11), with a = 7.3896 Å, b = 4.3801 Å, c = 9.7813 Å, α = 90.00°, β = 110.67° and γ = 90.00°. The inequivalent atoms are Ba at (0.1441, 0.2500, 0.3712), Ba at (0.2384, 0.7500, 0.0278), Tl at (0.4029, 0.7500, 0.6959), Rh at (0.2234, 0.2500, 0.7527) and N at (0.0219, 0.2500, 0.8329).

The value obtained for the total energy is -47.04 eV per cell. The offset from the most stable computed form comes out at 5.28 kJ per mole of atoms.

For each record above, in turn, the calculated size of the total moment values are 0.00 0.00 0.00 0.00 0.00 4.40 0.00 0.47 0.00 0.21 0.01 0.00 0.00 1.57 0.00 3.30 4.59 0.04 0.00 0.00 3.65 4.28 0.00 μB/f.u..
For each record above, in turn, the calculated formation energy from raw total energies values are 0.33 1.13 -0.23 -0.10 -0.04 2.85 0.10 -0.21 -0.31 -0.15 1.79 -0.46 -0.97 0.42 -0.99 0.39 2.07 0.70 -0.44 -0.56 0.68 1.96 -0.33 eV/atom.